1.
! CaIn2Pd2 PBEsol relaxed; values from VASP
&SYSTEM
  ibrav = 0, nat = 10, ntyp = 3
/
ATOMIC_SPECIES
Ca 40.08 Ca.upf
In 114.82 In.upf
Pd 106.42 Pd.upf
CELL_PARAMETERS angstrom
4.8066 0.0000 0.0000
0.0000 4.8066 0.0000
0.0000 0.0000 9.7031
ATOMIC_POSITIONS crystal
Ca 0.0000 0.0000 0.0000
Ca 0.5000 0.5000 0.5000
In 0.0000 0.0000 0.3570
In 0.0000 0.0000 0.6430
In 0.5000 0.5000 0.1430
In 0.5000 0.5000 0.8570
Pd 0.0000 0.5000 0.2500
Pd 0.0000 0.5000 0.7500
Pd 0.5000 0.0000 0.2500
Pd 0.5000 0.0000 0.7500
! SG = No. 139
! total magnetic moment = 0.0 μB per formula unit
! DFT formation energy = -0.50 eV per atom
! energy = -4.505 eV per atom

***

2.
! TcSbAu2N PBEsol relaxed; values from VASP
&SYSTEM
  ibrav = 0, nat = 5, ntyp = 4
/
ATOMIC_SPECIES
Tc 98.00 Tc.upf
Sb 121.76 Sb.upf
Au 196.97 Au.upf
N 14.01 N.upf
CELL_PARAMETERS angstrom
4.1560 0.0000 0.0000
0.0000 4.1560 0.0000
0.0000 0.0000 4.7421
ATOMIC_POSITIONS crystal
Tc 0.0000 0.0000 0.0000
Sb 0.5000 0.5000 0.0000
Au 0.0000 0.5000 0.5000
Au 0.5000 0.0000 0.5000
N 0.5000 0.5000 0.5000
! SG = No. 123
! total magnetic moment = 1.7 μB per formula unit
! energy = -5.410 eV per atom
! formation energy (no corrections) = 1.029 eV/atom

***

3.
! K2AlRe PBEsol relaxed; values from VASP
&SYSTEM
  ibrav = 0, nat = 8, ntyp = 3
/
ATOMIC_SPECIES
K 39.10 K.upf
Al 26.98 Al.upf
Re 186.21 Re.upf
CELL_PARAMETERS angstrom
8.7694 0.0000 0.0000
0.0000 2.7909 0.0000
-0.3657 0.0000 9.8890
ATOMIC_POSITIONS crystal
K 0.0000 0.0000 0.0000
K 0.2345 0.0000 0.5673
K 0.5000 0.5000 0.0000
K 0.7345 0.5000 0.5673
Al 0.2487 0.5000 0.2461
Al 0.7487 0.0000 0.2461
Re 0.4821 0.0000 0.3179
Re 0.9821 0.5000 0.3179
! SG = No. 8
! total magnetic moment = 0.0 μB per formula unit
! DFT formation energy = 0.78 eV per atom
! energy = -4.144 eV per atom

***

4.
! YTeCl2 PBEsol relaxed; values from VASP
&SYSTEM
  ibrav = 0, nat = 4, ntyp = 3
/
ATOMIC_SPECIES
Y 88.91 Y.upf
Te 127.60 Te.upf
Cl 35.45 Cl.upf
CELL_PARAMETERS angstrom
4.4694 0.0000 0.0000
0.0000 4.4694 0.0000
0.0000 0.0000 4.6793
ATOMIC_POSITIONS crystal
Y 0.0000 0.0000 0.0000
Te 0.5000 0.5000 0.0000
Cl 0.0000 0.5000 0.5000
Cl 0.5000 0.0000 0.5000
! SG = No. 123
! total magnetic moment = 0.0 μB per formula unit
! energy = -4.639 eV per atom
! formation energy (no corrections) = -1.048 eV/atom

***

5.
! YAl7 PBEsol relaxed; values from VASP
&SYSTEM
  ibrav = 0, nat = 8, ntyp = 2
/
ATOMIC_SPECIES
Y 88.91 Y.upf
Al 26.98 Al.upf
CELL_PARAMETERS angstrom
0.0000 4.1497 4.1497
4.1497 0.0000 4.1497
4.1497 4.1497 0.0000
ATOMIC_POSITIONS crystal
Y 0.0000 0.0000 0.0000
Al 0.0000 0.0000 0.5000
Al 0.0000 0.5000 0.0000
Al 0.0000 0.5000 0.5000
Al 0.5000 0.0000 0.0000
Al 0.5000 0.0000 0.5000
Al 0.5000 0.5000 0.0000
Al 0.5000 0.5000 0.5000
! SG = No. 225
! total magnetic moment = 0.0 μB per formula unit
! DFT formation energy = -0.13 eV per atom
! energy = -4.566 eV per atom

***

6.
! CaTc2Mo PBEsol relaxed; values from VASP
&SYSTEM
  ibrav = 0, nat = 8, ntyp = 3
/
ATOMIC_SPECIES
Ca 40.08 Ca.upf
Tc 98.00 Tc.upf
Mo 95.94 Mo.upf
CELL_PARAMETERS angstrom
9.7860 0.0000 0.0000
0.0000 3.0591 0.0000
-1.5962 0.0000 4.7547
ATOMIC_POSITIONS crystal
Ca 0.0000 0.0000 0.0000
Ca 0.5000 0.5000 0.0000
Tc 0.2797 0.5000 0.3259
Tc 0.4982 0.0000 0.4949
Tc 0.7797 0.0000 0.3259
Tc 0.9982 0.5000 0.4949
Mo 0.2129 0.0000 0.6656
Mo 0.7129 0.5000 0.6656
! SG = No. 8
! total magnetic moment = 0.0 μB per formula unit
! DFT formation energy = 0.54 eV per atom
! energy = -8.569 eV per atom

***

7.
! RhIF2 PBEsol relaxed; values from VASP
&SYSTEM
  ibrav = 0, nat = 12, ntyp = 3
/
ATOMIC_SPECIES
Rh 102.91 Rh.upf
I 126.90 I.upf
F 19.00 F.upf
CELL_PARAMETERS angstrom
3.0026 0.0000 0.0000
-1.5013 2.6003 0.0000
0.0000 0.0000 28.3695
ATOMIC_POSITIONS crystal
Rh 0.0000 0.0000 0.0000
Rh 0.3333 0.6667 0.6667
Rh 0.6667 0.3333 0.3333
I 0.0000 0.0000 0.5000
I 0.3333 0.6667 0.1667
I 0.6667 0.3333 0.8333
F 0.0000 0.0000 0.0653
F 0.0000 0.0000 0.9347
F 0.3333 0.6667 0.6014
F 0.3333 0.6667 0.7319
F 0.6667 0.3333 0.2681
F 0.6667 0.3333 0.3986
! SG = No. 166
! total magnetic moment = 1.7 μB per formula unit
! energy = -3.956 eV per atom
! formation energy (no corrections) = -0.516 eV/atom

***

8.
! YFe2P PBEsol relaxed; values from VASP
&SYSTEM
  ibrav = 0, nat = 8, ntyp = 3
/
ATOMIC_SPECIES
Y 88.91 Y.upf
Fe 55.84 Fe.upf
P 30.97 P.upf
CELL_PARAMETERS angstrom
3.2329 0.0000 0.0000
0.0000 4.8041 0.0000
0.0000 0.0000 7.6635
ATOMIC_POSITIONS crystal
Y 0.0000 0.0000 0.0000
Y 0.5000 0.5000 0.5000
Fe 0.0000 0.5000 0.1969
Fe 0.0000 0.5000 0.8031
Fe 0.5000 0.0000 0.3031
Fe 0.5000 0.0000 0.6969
P 0.0000 0.0000 0.5000
P 0.5000 0.5000 0.0000
! SG = No. 71
! total magnetic moment = 2.6 μB per formula unit
! DFT formation energy = -0.11 eV per atom
! energy = -7.742 eV per atom